# Cd8HgAu3 GGA-PBE optimized geometry
# space-group type = Fmmm (69)
# electronic total energy = -1.56 eV/atom
data_Cd8HgAu3
_chemical_formula_sum 'Cd8 Hg1 Au3'
_space_group_name_H-M_alt 'P 1'
_space_group_IT_number 1
_space_group_name_Hall 'P 1'
_cell_length_a 8.1977
_cell_length_b 8.3477
_cell_length_c 8.2000
_cell_angle_alpha 46.56
_cell_angle_beta 113.57
_cell_angle_gamma 133.43
loop_
_atom_site_label
_atom_site_type_symbol
_atom_site_fract_x
_atom_site_fract_y
_atom_site_fract_z
Cd1 Cd 0.1224 0.0000 0.3918
Cd2 Cd 0.3772 0.5109 0.6228
Cd3 Cd 0.8663 0.4891 0.1336
Cd4 Cd 0.6081 0.0000 0.8776
Cd5 Cd 0.8775 0.0000 0.6083
Cd6 Cd 0.6232 0.4896 0.3770
Cd7 Cd 0.1336 0.5104 0.8665
Cd8 Cd 0.3918 0.0000 0.1226
Hg1 Hg 0.0000 0.0000 0.9999
Au1 Au 0.7500 0.5000 0.7500
Au2 Au 0.2501 0.5000 0.2500
Au3 Au 0.4999 0.0000 0.5001

# PrNdTl GGA-PBE optimized geometry
# distance to the lowest polymorph of the same formula = 421 meV per atom
# space-group type = P6_3mc (186)
# electronic total energy = -3.82 eV/atom
data_PrNdTl
_chemical_formula_sum 'Pr2 Nd2 Tl2'
_space_group_name_H-M_alt 'P 1'
_space_group_IT_number 1
_space_group_name_Hall 'P 1'
_cell_length_a 4.5659
_cell_length_b 4.5659
_cell_length_c 12.1110
_cell_angle_alpha 90.00
_cell_angle_beta 90.00
_cell_angle_gamma 120.00
loop_
_atom_site_label
_atom_site_type_symbol
_atom_site_fract_x
_atom_site_fract_y
_atom_site_fract_z
Nd1 Nd 0.6667 0.3333 0.2621
Nd2 Nd 0.3333 0.6667 0.7621
Tl1 Tl 0.0000 0.0000 0.6181
Tl2 Tl 0.0000 0.0000 0.1181
Pr1 Pr 0.6667 0.3333 0.9697
Pr2 Pr 0.3333 0.6667 0.4697

# MgCu9Sb2 GGA-PBE optimized geometry
# uncorrected formation energy = 0.025 eV per atom
# space-group type = R-3m (166)
# electronic total energy = -3.87 eV/atom
data_MgCu9Sb2
_chemical_formula_sum 'Mg1 Cu9 Sb2'
_space_group_name_H-M_alt 'P 1'
_space_group_IT_number 1
_space_group_name_Hall 'P 1'
_cell_length_a 5.0390
_cell_length_b 5.0390
_cell_length_c 8.7179
_cell_angle_alpha 73.20
_cell_angle_beta 73.20
_cell_angle_gamma 60.00
loop_
_atom_site_label
_atom_site_type_symbol
_atom_site_fract_x
_atom_site_fract_y
_atom_site_fract_z
Mg1 Mg 0.0000 0.0000 0.0000
Cu1 Cu 0.6671 0.6671 0.9987
Cu2 Cu 0.3329 0.3329 0.0013
Cu3 Cu 0.5000 0.5000 0.5000
Cu4 Cu 0.4173 0.4173 0.2468
Cu5 Cu 0.9187 0.4173 0.2468
Cu6 Cu 0.4173 0.9187 0.2468
Cu7 Cu 0.5827 0.5827 0.7532
Cu8 Cu 0.5827 0.0813 0.7532
Cu9 Cu 0.0813 0.5827 0.7532
Sb1 Sb 0.8680 0.8680 0.3959
Sb2 Sb 0.1320 0.1320 0.6041

# YPu5Ge6 GGA-PBE optimized geometry
# space-group type = P2/m (10)
# electronic total energy = -9.25 eV/atom
data_YPu5Ge6
_chemical_formula_sum 'Y1 Pu5 Ge6'
_space_group_name_H-M_alt 'P 1'
_space_group_IT_number 1
_space_group_name_Hall 'P 1'
_cell_length_a 9.3810
_cell_length_b 4.6497
_cell_length_c 7.3790
_cell_angle_alpha 71.73
_cell_angle_beta 81.06
_cell_angle_gamma 60.28
loop_
_atom_site_label
_atom_site_type_symbol
_atom_site_fract_x
_atom_site_fract_y
_atom_site_fract_z
Y1 Y 0.0000 0.0000 0.0000
Pu1 Pu 0.5000 0.1720 0.6571
Pu2 Pu 0.0000 0.3253 0.3490
Pu3 Pu 0.5000 0.5000 0.0000
Pu4 Pu 0.0000 0.6747 0.6510
Pu5 Pu 0.5000 0.8280 0.3429
Ge1 Ge 0.2503 0.5873 0.3236
Ge2 Ge 0.7497 0.0879 0.3236
Ge3 Ge 0.7502 0.7498 0.0000
Ge4 Ge 0.2498 0.2502 0.0000
Ge5 Ge 0.2503 0.9121 0.6764
Ge6 Ge 0.7497 0.4127 0.6764

Q: Which value of electronic total energy does entry 1 give?
A: -1.56 eV/atom

Copy entry 1 word for word.
# Cd8HgAu3 GGA-PBE optimized geometry
# space-group type = Fmmm (69)
# electronic total energy = -1.56 eV/atom
data_Cd8HgAu3
_chemical_formula_sum 'Cd8 Hg1 Au3'
_space_group_name_H-M_alt 'P 1'
_space_group_IT_number 1
_space_group_name_Hall 'P 1'
_cell_length_a 8.1977
_cell_length_b 8.3477
_cell_length_c 8.2000
_cell_angle_alpha 46.56
_cell_angle_beta 113.57
_cell_angle_gamma 133.43
loop_
_atom_site_label
_atom_site_type_symbol
_atom_site_fract_x
_atom_site_fract_y
_atom_site_fract_z
Cd1 Cd 0.1224 0.0000 0.3918
Cd2 Cd 0.3772 0.5109 0.6228
Cd3 Cd 0.8663 0.4891 0.1336
Cd4 Cd 0.6081 0.0000 0.8776
Cd5 Cd 0.8775 0.0000 0.6083
Cd6 Cd 0.6232 0.4896 0.3770
Cd7 Cd 0.1336 0.5104 0.8665
Cd8 Cd 0.3918 0.0000 0.1226
Hg1 Hg 0.0000 0.0000 0.9999
Au1 Au 0.7500 0.5000 0.7500
Au2 Au 0.2501 0.5000 0.2500
Au3 Au 0.4999 0.0000 0.5001